Here is an optimized crystal structure of La2ZnP2 from Alexandria. Energies are from PBE.

a b c (Å): 7.735 7.735 3.962
angles (deg): 90.00 90.00 90.00
Fractional coordinates of all 10 atoms:
La: 0.154 0.346 0.000
La: 0.346 0.846 0.000
La: 0.654 0.154 0.000
La: 0.846 0.654 0.000
Zn: 0.000 0.000 0.500
Zn: 0.500 0.500 0.500
P: 0.157 0.657 0.500
P: 0.343 0.157 0.500
P: 0.657 0.843 0.500
P: 0.843 0.343 0.500

**Energy of formation**: -1036 meV/atom
**N(E_F)**: 0.807 states/eV per cell